No. 1
Tl2ReSb: optimized geometry, PBE-GGA.

Calculated values
DFT total energy: -38.19 eV for the cell shown
Formation energy from raw total energies: 0.552 eV/atom
Crystal system: monoclinic

The structure in CIF format:
```
data_Tl2ReSb
_chemical_formula_sum 'Tl4 Re2 Sb2'
_cell_length_a 15.871
_cell_length_b 3.132
_cell_length_c 4.425
_cell_angle_alpha 90.00
_cell_angle_beta 106.13
_cell_angle_gamma 90.00
_symmetry_space_group_name_H-M 'C 1 2/m 1'
_symmetry_Int_Tables_number 12
loop_
_symmetry_equiv_pos_as_xyz
'x,y,z'
'-x,-y,-z'
'-x,y,-z'
'x,-y,z'
'x+1/2,y+1/2,z'
'-x+1/2,-y+1/2,-z'
'-x+1/2,y+1/2,-z'
'x+1/2,-y+1/2,z'
loop_
_atom_site_label
_atom_site_type_symbol
_atom_site_fract_x
_atom_site_fract_y
_atom_site_fract_z
_atom_site_occupancy
Tl1 Tl 0.180 0.000 0.179 1
Re1 Re 0.000 0.500 0.000 1
Sb1 Sb 0.000 0.000 0.500 1
```

---

No. 2
TlReSb: optimized geometry, PBE-GGA.

Calculated values
DFT total energy: -65.81 eV for the cell shown
Formation energy from raw total energies: 0.828 eV/atom
Crystal system: cubic

The structure in CIF format:
```
data_TlReSb
_chemical_formula_sum 'Tl4 Re4 Sb4'
_cell_length_a 6.554
_cell_length_b 6.554
_cell_length_c 6.554
_cell_angle_alpha 90.00
_cell_angle_beta 90.00
_cell_angle_gamma 90.00
_symmetry_space_group_name_H-M 'F -4 3 m'
_symmetry_Int_Tables_number 216
_symmetry_space_group_name_Hall 'F -4 2 3'
loop_
_atom_site_label
_atom_site_type_symbol
_atom_site_fract_x
_atom_site_fract_y
_atom_site_fract_z
_atom_site_occupancy
Tl1 Tl 0.000 0.000 0.000 1
Re1 Re 0.250 0.250 0.750 1
Sb1 Sb 0.000 0.000 0.500 1
```

---

No. 3
Tl2ReSb: optimized geometry, PBE-GGA.

Calculated values
DFT total energy: -37.76 eV for the cell shown
Formation energy from raw total energies: 0.605 eV/atom
Crystal system: orthorhombic

The structure in CIF format:
```
data_Tl2ReSb
_chemical_formula_sum 'Tl4 Re2 Sb2'
_cell_length_a 3.505
_cell_length_b 5.340
_cell_length_c 10.705
_cell_angle_alpha 90.00
_cell_angle_beta 90.00
_cell_angle_gamma 90.00
_symmetry_space_group_name_H-M 'C m m 2'
_symmetry_Int_Tables_number 35
loop_
_symmetry_equiv_pos_as_xyz
'x,y,z'
'-x,-y,z'
'-x,y,z'
'x,-y,z'
'x+1/2,y+1/2,z'
'-x+1/2,-y+1/2,z'
'-x+1/2,y+1/2,z'
'x+1/2,-y+1/2,z'
loop_
_atom_site_label
_atom_site_type_symbol
_atom_site_fract_x
_atom_site_fract_y
_atom_site_fract_z
_atom_site_occupancy
Tl1 Tl 0.000 0.000 0.000 1
Tl2 Tl 0.000 0.500 0.280 1
Re1 Re 0.000 0.500 0.779 1
Sb1 Sb 0.000 0.000 0.596 1
```

---

No. 4
Tl2ReSb: optimized geometry, PBE-GGA.

Calculated values
DFT total energy: -53.21 eV for the cell shown
Formation energy from raw total energies: 0.892 eV/atom
Crystal system: trigonal

The structure in CIF format:
```
data_Tl2ReSb
_chemical_formula_sum 'Tl6 Re3 Sb3'
_cell_length_a 3.2056
_cell_length_b 3.2056
_cell_length_c 31.2136
_cell_angle_alpha 90.00
_cell_angle_beta 90.00
_cell_angle_gamma 120.00
_symmetry_space_group_name_H-M 'R -3 m'
_symmetry_Int_Tables_number 166
_symmetry_space_group_name_Hall '-R 3 2"'
loop_
_atom_site_label
_atom_site_type_symbol
_atom_site_fract_x
_atom_site_fract_y
_atom_site_fract_z
_atom_site_occupancy
Tl1 Tl 0.0000 0.0000 0.2408 1
Re1 Re 0.0000 0.0000 0.5000 1
Sb1 Sb 0.0000 0.0000 0.0000 1
```